Record 1
## SnRuI3 (GGA-PBEsol)

Data for a geometry-optimized SnRuI3 structure.

Values from the calculation:
As for the space group: No. 221. As for the density of states at the Fermi level: 4.8 states/eV/cell.

Lattice parameters (Å, degrees): 5.271 5.271 5.271 90.00 90.00 90.00
Fractional coordinates of all 5 atoms:
1 Sn 0.000 0.000 0.000
2 Ru 0.500 0.500 0.500
3 I 0.000 0.500 0.500
4 I 0.500 0.000 0.500
5 I 0.500 0.500 0.000


Record 2
## SrTe2RuI (GGA-PBEsol)

Data for a geometry-optimized SrTe2RuI structure.

Values from the calculation:
As for the space group: No. 123. As for the density of states at the Fermi level: 9.1 states/eV/cell.

Lattice parameters (Å, degrees): 6.023 6.023 5.975 90.00 90.00 90.00
Fractional coordinates of all 5 atoms:
1 Sr 0.000 0.000 0.000
2 Te 0.000 0.500 0.000
3 Te 0.500 0.000 0.000
4 Ru 0.500 0.500 0.500
5 I 0.000 0.000 0.500


Record 3
## TaTeRuI2 (GGA-PBEsol)

Data for a geometry-optimized TaTeRuI2 structure.

Values from the calculation:
As for the space group: No. 123. As for the density of states at the Fermi level: 5.3 states/eV/cell.

Lattice parameters (Å, degrees): 5.129 5.129 5.116 90.00 90.00 90.00
Fractional coordinates of all 5 atoms:
1 Ta 0.000 0.000 0.000
2 Te 0.500 0.500 0.000
3 Ru 0.500 0.500 0.500
4 I 0.000 0.500 0.500
5 I 0.500 0.000 0.500


Record 4
## Tb7RuI12 (GGA-PBEsol)

Data for a geometry-optimized Tb7RuI12 structure.

Values from the calculation:
As for the space group: No. 148. As for the density of states at the Fermi level: 15.0 states/eV/cell.

Lattice parameters (Å, degrees): 9.526 9.526 9.526 107.32 107.32 107.32
Fractional coordinates of all 20 atoms:
1 Tb 0.000 0.000 0.000
2 Tb 0.196 0.471 0.400
3 Tb 0.400 0.196 0.471
4 Tb 0.471 0.400 0.196
5 Tb 0.529 0.600 0.804
6 Tb 0.600 0.804 0.529
7 Tb 0.804 0.529 0.600
8 Ru 0.500 0.500 0.500
9 I 0.027 0.108 0.343
10 I 0.108 0.343 0.027
11 I 0.179 0.574 0.731
12 I 0.269 0.821 0.426
13 I 0.343 0.027 0.108
14 I 0.426 0.269 0.821
15 I 0.574 0.731 0.179
16 I 0.657 0.973 0.892
17 I 0.731 0.179 0.574
18 I 0.821 0.426 0.269
19 I 0.892 0.657 0.973
20 I 0.973 0.892 0.657


Record 5
## Te7RuI6 (GGA-PBEsol)

Data for a geometry-optimized Te7RuI6 structure.

Values from the calculation:
As for the space group: No. 2.

Lattice parameters (Å, degrees): 9.889 10.150 11.406 102.06 103.65 111.06
Fractional coordinates of all 28 atoms:
1 Te 0.017 0.331 0.022
2 Te 0.088 0.993 0.299
3 Te 0.095 0.744 0.706
4 Te 0.177 0.272 0.858
5 Te 0.200 0.070 0.016
6 Te 0.260 0.883 0.174
7 Te 0.295 0.388 0.327
8 Te 0.705 0.612 0.673
9 Te 0.740 0.117 0.826
10 Te 0.800 0.930 0.984
11 Te 0.823 0.728 0.142
12 Te 0.905 0.256 0.294
13 Te 0.912 0.007 0.701
14 Te 0.983 0.669 0.978
15 Ru 0.052 0.165 0.162
16 Ru 0.948 0.835 0.838
17 I 0.119 0.589 0.330
18 I 0.177 0.331 0.546
19 I 0.289 0.025 0.685
20 I 0.333 0.741 0.913
21 I 0.427 0.525 0.150
22 I 0.489 0.232 0.380
23 I 0.511 0.768 0.620
24 I 0.573 0.475 0.850
25 I 0.667 0.259 0.087
26 I 0.711 0.975 0.315
27 I 0.823 0.669 0.454
28 I 0.881 0.411 0.670


Record 6
## Ru2WI (GGA-PBEsol)

Data for a geometry-optimized Ru2WI structure.

Values from the calculation:
As for the space group: No. 225. As for the density of states at the Fermi level: 5.5 states/eV/cell.

Lattice parameters (Å, degrees): 4.522 4.522 4.522 60.00 60.00 60.00
Fractional coordinates of all 4 atoms:
1 Ru 0.250 0.250 0.250
2 Ru 0.750 0.750 0.750
3 W 0.000 0.000 0.000
4 I 0.500 0.500 0.500


Record 7
## YRuI3 (GGA-PBEsol)

Data for a geometry-optimized YRuI3 structure.

Values from the calculation:
As for the space group: No. 221. As for the density of states at the Fermi level: 2.8 states/eV/cell.

Lattice parameters (Å, degrees): 5.236 5.236 5.236 90.00 90.00 90.00
Fractional coordinates of all 5 atoms:
1 Y 0.000 0.000 0.000
2 Ru 0.500 0.500 0.500
3 I 0.000 0.500 0.500
4 I 0.500 0.000 0.500
5 I 0.500 0.500 0.000


Record 8
## ScSbSI2 (GGA-PBEsol)

Data for a geometry-optimized ScSbSI2 structure.

Values from the calculation:
As for the space group: No. 123. As for the density of states at the Fermi level: 3.9 states/eV/cell.

Lattice parameters (Å, degrees): 5.132 5.132 5.606 90.00 90.00 90.00
Fractional coordinates of all 5 atoms:
1 Sc 0.000 0.000 0.000
2 Sb 0.500 0.500 0.000
3 S 0.500 0.500 0.500
4 I 0.000 0.500 0.500
5 I 0.500 0.000 0.500


| no. | VASP energy (hartree per atom) | V (A^3/atom) |
| --- | --- | --- |
| 1 | -0.1343 | 29.289 |
| 2 | -0.1130 | 43.344 |
| 3 | -0.1735 | 26.919 |
| 4 | -0.1663 | 35.679 |
| 5 | -0.1245 | 35.083 |
| 6 | -0.2878 | 16.350 |
| 7 | -0.1616 | 28.706 |
| 8 | -0.1292 | 29.532 |